13
Lattice="6.504 -4.148 0.000 6.504 4.148 0.000 -1.041 0.000 7.121" Properties=species:S:1:pos:R:3 comment="Li2Pa3Se8 PBE-GGA optimized geometry" space_group="C2/m (12)" pbc="T T T"
Li 2.702 0.000 0.536
Li 9.265 0.000 6.584
Pa 5.983 2.117 3.560
Pa 6.504 0.000 0.000
Pa 5.983 -2.117 3.560
Se 1.148 0.000 2.717
Se 4.773 1.940 1.027
Se 4.317 0.000 4.548
Se 7.194 1.940 6.094
Se 4.773 -1.940 1.027
Se 7.650 0.000 2.573
Se 7.194 -1.940 6.094
Se 10.819 0.000 4.404


14
Lattice="-4.508 4.508 3.702 4.508 -4.508 3.702 4.508 4.508 -3.702" Properties=species:S:1:pos:R:3 comment="Li2PaSe4 PBE-GGA optimized geometry" space_group="I-42d (122)" polymorph_energy_mev_per_atom=0.0 pbc="T T T"
Li 2.254 1.828 -0.926
Li 2.680 -2.254 4.628
Li 2.254 2.680 2.777
Li 1.828 6.761 0.926
Pa 4.508 0.000 1.851
Pa 0.000 0.000 3.702
Se 4.172 -2.789 2.403
Se 4.843 1.719 -0.552
Se 7.296 -0.335 1.300
Se 1.719 0.335 1.300
Se 1.719 4.172 0.552
Se 2.789 0.335 4.254
Se 4.843 2.789 2.403
Se -0.335 2.789 3.151


16
Lattice="6.833 0.000 0.000 0.000 7.979 0.000 -2.412 0.000 6.549" Properties=species:S:1:pos:R:3 comment="Li3PaSe4 PBE-GGA optimized geometry" space_group="P2/c (13)" polymorph_energy_mev_per_atom=0.0 pbc="T T T"
Li -0.603 0.862 1.637
Li -1.809 2.871 4.912
Li -0.603 5.108 1.637
Li -1.809 7.116 4.912
Li 1.607 0.932 4.912
Li 2.813 7.046 1.637
Pa 2.813 2.825 1.637
Pa 1.607 5.154 4.912
Se 1.657 0.986 0.038
Se 0.451 6.993 3.313
Se 0.552 3.074 3.272
Se -0.654 4.905 6.546
Se 5.074 3.074 0.002
Se 3.868 4.905 3.277
Se 3.969 0.986 3.236
Se 2.763 6.993 6.510


16
Lattice="2.804 -6.630 0.000 2.804 6.630 0.000 0.000 0.000 13.484" Properties=species:S:1:pos:R:3 comment="LiPa2Se5 PBE-GGA optimized geometry" space_group="Cmcm (63)" pbc="T T T"
Li 2.804 3.765 10.113
Li 2.804 -3.765 3.371
Pa 2.804 4.699 0.790
Pa 2.804 4.699 5.952
Pa 2.804 -4.699 7.532
Pa 2.804 -4.699 12.694
Se 2.804 5.970 8.397
Se 2.804 5.970 11.829
Se 2.804 3.569 3.371
Se 2.804 2.250 7.482
Se 2.804 2.250 12.743
Se 2.804 -2.250 0.740
Se 2.804 -2.250 6.001
Se 2.804 -3.569 10.113
Se 2.804 -5.970 1.655
Se 2.804 -5.970 5.087


8
Lattice="-2.858 2.858 5.700 2.858 -2.858 5.700 2.858 2.858 -5.700" Properties=species:S:1:pos:R:3 comment="LiPa3Se4 PBE-GGA optimized geometry" space_group="I4/mmm (139)" pbc="T T T"
Li 0.000 0.000 0.000
Pa 2.858 0.000 2.850
Pa 0.000 0.000 5.700
Pa 0.000 2.858 2.850
Se 2.858 0.000 0.000
Se 0.000 0.000 2.742
Se 0.000 2.858 0.000
Se 0.000 0.000 8.658


8
Lattice="3.959 -5.432 0.000 3.959 5.432 0.000 0.000 0.000 4.125" Properties=species:S:1:pos:R:3 comment="Li3PaSe4 PBE-GGA optimized geometry" space_group="Cmmm (65)" polymorph_energy_mev_per_atom=22.3 pbc="T T T"
Li 0.000 0.000 0.000
Li 1.980 2.716 2.063
Li 1.980 -2.716 2.063
Pa 3.959 0.000 0.000
Se 3.959 2.688 0.000
Se 2.008 0.000 2.063
Se 5.910 0.000 2.063
Se 3.959 -2.688 0.000


| no. | VASP energy (eV per atom) |
| --- | --- |
| 1 | -5.92 |
| 2 | -5.04 |
| 3 | -4.97 |
| 4 | -6.07 |
| 5 | -6.78 |
| 6 | -4.95 |